Computed, not measured: a geometry-optimized LaAl2 structure at the PBE-GGA level of DFT.

a = 6.7952 Å, b = 6.7952 Å, c = 6.7952 Å
α = 145.21°, β = 121.96°, γ = 69.48°
Last column: nearest neighbours and their distance in Å.
Positions (direct):
La (0.1730, 0.1730, 0.0000)  8 Al 3.10-3.39
La (0.8270, 0.8270, 0.0000)  8 Al 3.10-3.39
Al (0.2899, 0.5000, 0.7899)  5 Al 2.77-2.78
Al (0.3831, 0.8831, 0.5000)  5 Al 2.61-2.78
Al (0.6169, 0.1169, 0.5000)  5 Al 2.61-2.78
Al (0.7101, 0.5000, 0.2101)  5 Al 2.77-2.78

## Properties
space-group type	No. 71
DOS at the Fermi energy	2.2	states/eV/cell
spin magnetization	0.000	μB per atom
VASP energy	-4.49	eV per atom



Computed, not measured: a geometry-optimized La3Al structure at the PBE-GGA level of DFT.

a = 8.9015 Å, b = 8.9015 Å, c = 8.9015 Å
α = 152.10°, β = 152.10°, γ = 39.87°
Last column: nearest neighbours and their distance in Å.
Positions (direct):
La (0.0000, 0.0000, 0.0000)  4 Al 3.03
La (0.3197, 0.3197, 0.0000)  1 Al 3.02
La (0.6803, 0.6803, 0.0000)  1 Al 3.02
Al (0.5000, 0.5000, 0.0000)  6 La 3.02-3.03

## Properties
space-group type	No. 139
DOS at the Fermi energy	9.1	states/eV/cell
spin magnetization	0.102	μB per atom
VASP energy	-4.44	eV per atom



Computed, not measured: a geometry-optimized LaAl structure at the PBE-GGA level of DFT.

a = 5.2482 Å, b = 5.2482 Å, c = 5.2482 Å
α = 60.00°, β = 60.00°, γ = 60.00°
Last column: nearest neighbours and their distance in Å.
Positions (direct):
La (0.1250, 0.1250, 0.1250)  4 La 3.21, 4 Al 3.21
La (0.8750, 0.8750, 0.8750)  4 Al 3.21, 4 La 3.21
Al (0.3750, 0.3750, 0.3750)  4 Al 3.21, 4 La 3.21
Al (0.6250, 0.6250, 0.6250)  4 La 3.21, 4 Al 3.21

## Properties
space-group type	No. 227
DOS at the Fermi energy	6.2	states/eV/cell
spin magnetization	0.000	μB per atom
VASP energy	-4.27	eV per atom



Computed, not measured: a geometry-optimized LaAl structure at the PBE-GGA level of DFT.

a = 4.9567 Å, b = 4.9567 Å, c = 4.9567 Å
α = 60.00°, β = 60.00°, γ = 60.00°
Last column: nearest neighbours and their distance in Å.
Positions (direct):
La (0.0000, 0.0000, 0.0000)  4 Al 3.04
Al (0.2500, 0.2500, 0.2500)  4 La 3.04

## Properties
space-group type	No. 216
DOS at the Fermi energy	5.1	states/eV/cell
spin magnetization	0.000	μB per atom
VASP energy	-3.55	eV per atom



Computed, not measured: a geometry-optimized LaAl4 structure at the PBE-GGA level of DFT.

a = 5.9036 Å, b = 5.9036 Å, c = 5.9036 Å
α = 109.47°, β = 109.47°, γ = 109.47°
Last column: nearest neighbours and their distance in Å.
Positions (direct):
La (0.0000, 0.0000, 0.0000)  8 Al 2.95
Al (0.0000, 0.0000, 0.5000)  2 La 2.95
Al (0.0000, 0.5000, 0.0000)  2 La 2.95
Al (0.5000, 0.0000, 0.0000)  2 La 2.95
Al (0.5000, 0.5000, 0.5000)  2 La 2.95

## Properties
space-group type	No. 229
DOS at the Fermi energy	7.0	states/eV/cell
spin magnetization	0.000	μB per atom
VASP energy	-3.13	eV per atom



Computed, not measured: a geometry-optimized La3Al structure at the PBE-GGA level of DFT.

a = 6.1430 Å, b = 6.1430 Å, c = 6.1430 Å
α = 133.11°, β = 132.86°, γ = 68.68°
Last column: nearest neighbours and their distance in Å.
Positions (direct):
La (0.0000, 0.0000, 0.0000)  4 Al 3.47, 8 La 3.52-3.53
La (0.2508, 0.7508, 0.5000)  8 La 3.47-3.53, 4 Al 3.52-3.54
La (0.7492, 0.2492, 0.5000)  8 La 3.47-3.53, 4 Al 3.52-3.54
Al (0.5000, 0.5000, 0.0000)  12 La 3.47-3.54

## Properties
space-group type	No. 71
DOS at the Fermi energy	5.2	states/eV/cell
spin magnetization	0.000	μB per atom
VASP energy	-4.80	eV per atom



Computed, not measured: a geometry-optimized La3Al structure at the PBE-GGA level of DFT.

a = 7.2230 Å, b = 7.2230 Å, c = 5.4480 Å
α = 90.00°, β = 90.00°, γ = 120.00°
Last column: nearest neighbours and their distance in Å.
Positions (direct):
La (0.1812, 0.3624, 0.2500)  6 La 3.30-3.54, 4 Al 3.32-3.62
La (0.1812, 0.8188, 0.2500)  6 La 3.30-3.54, 4 Al 3.32-3.62
La (0.3624, 0.1812, 0.7500)  6 La 3.30-3.54, 4 Al 3.32-3.62
La (0.6376, 0.8188, 0.2500)  6 La 3.30-3.54, 4 Al 3.32-3.62
La (0.8188, 0.1812, 0.7500)  6 La 3.30-3.54, 4 Al 3.32-3.62
La (0.8188, 0.6376, 0.7500)  6 La 3.30-3.54, 4 Al 3.32-3.62
Al (0.3333, 0.6667, 0.7500)  12 La 3.32-3.62
Al (0.6667, 0.3333, 0.2500)  12 La 3.32-3.62

## Properties
space-group type	No. 194
DOS at the Fermi energy	9.4	states/eV/cell
spin magnetization	0.000	μB per atom
VASP energy	-4.84	eV per atom



Computed, not measured: a geometry-optimized La5Al3 structure at the PBE-GGA level of DFT.

a = 9.3652 Å, b = 9.3652 Å, c = 6.5594 Å
α = 90.00°, β = 90.00°, γ = 120.00°
Last column: nearest neighbours and their distance in Å.
Positions (direct):
La (0.0000, 0.2429, 0.2500)  5 Al 3.25-3.59
La (0.0000, 0.7571, 0.7500)  5 Al 3.25-3.59
La (0.2429, 0.0000, 0.2500)  5 Al 3.25-3.59
La (0.2429, 0.2429, 0.7500)  5 Al 3.25-3.59
La (0.3333, 0.6667, 0.0000)  2 La 3.28, 6 Al 3.30
La (0.3333, 0.6667, 0.5000)  2 La 3.28, 6 Al 3.30
La (0.6667, 0.3333, 0.0000)  2 La 3.28, 6 Al 3.30
La (0.6667, 0.3333, 0.5000)  2 La 3.28, 6 Al 3.30
La (0.7571, 0.0000, 0.7500)  5 Al 3.25-3.59
La (0.7571, 0.7571, 0.2500)  5 Al 3.25-3.59
Al (0.0000, 0.3975, 0.7500)  9 La 3.25-3.59
Al (0.0000, 0.6025, 0.2500)  9 La 3.25-3.59
Al (0.3975, 0.0000, 0.7500)  9 La 3.25-3.59
Al (0.3975, 0.3975, 0.2500)  9 La 3.25-3.59
Al (0.6025, 0.0000, 0.2500)  9 La 3.25-3.59
Al (0.6025, 0.6025, 0.7500)  9 La 3.25-3.59

## Properties
space-group type	No. 193
DOS at the Fermi energy	23.7	states/eV/cell
spin magnetization	0.000	μB per atom
VASP energy	-4.70	eV per atom